Entry 1:
This record from Alexandria via LeMat-Bulk describes a relaxed structure of FeW. The functional is PBE-GGA.

```
8
Lattice="1.4309 2.1009 3.3566 -1.6636 -3.8391 0.4713 6.8186 -3.0752 -0.9819" Properties=species:S:1:pos:R:3 pbc="T T T"
W 2.2606 -3.1637 1.0165
W 4.3253 -1.6497 1.8295
Fe 1.7046 -0.7688 -0.2455
Fe 2.1040 -0.6479 2.1494
Fe 4.4818 -4.1655 0.6967
W 6.7013 -2.7213 1.4873
W -0.1155 -2.0921 1.3587
Fe 5.1139 -2.3064 -0.7364
```

## Properties
- DFT formation energy (eV/f.u.) = 0.9


Entry 2:
This record from Alexandria via LeMat-Bulk describes a relaxed structure of TePbC2. The functional is PBE-GGA.

```
8
Lattice="5.2126 0.0000 0.0000 0.0000 5.2126 0.0000 2.6063 2.6063 5.8405" Properties=species:S:1:pos:R:3 pbc="T T T"
C 3.7983 1.3032 1.4601
Te 2.6063 5.2126 2.9203
Pb 5.2126 2.6063 2.9203
C 3.9095 4.0206 4.3804
C 1.4143 3.9095 1.4601
C 6.5158 6.4047 4.3804
Pb 0.0000 0.0000 0.0000
Te 2.6063 2.6063 0.0000
```

## Properties
- raw formation energy (eV per formula unit) = 7.09
- energy above the lowest structure with this stoichiometry (eV/f.u.) = 0.00


Entry 3:
This record from Alexandria via LeMat-Bulk describes a relaxed structure of TcAgSb2. The functional is PBE-GGA.

```
4
Lattice="0.0000 3.4115 3.4115 3.4115 0.0000 3.4115 3.4115 3.4115 0.0000" Properties=species:S:1:pos:R:3 pbc="T T T"
Sb 1.7058 1.7058 1.7058
Ag 3.4115 3.4115 3.4115
Tc 0.0000 0.0000 0.0000
Sb 5.1173 5.1173 5.1173
```

## Properties
- raw formation energy (eV per formula unit) = 1.58
- energy above the lowest structure with this stoichiometry (eV/f.u.) = 1.15